No. 1
The following is a GGA-PBE calculation of a relaxed structure of Al8Cu2Pd, from the Alexandria database.

Structure (POSCAR):
```
Al8Cu2Pd
1.0
3.770 0.000 -1.147
-1.092 6.317 -3.588
0.158 -0.107 7.285
Al Pd Cu
8 1 2
Cartesian
2.372 5.265 1.026 Al
0.752 3.502 2.470 Al
1.580 5.620 -1.574 Al
1.255 0.590 4.124 Al
2.084 2.708 0.080 Al
0.464 0.945 1.523 Al
-0.328 1.898 -1.078 Al
3.163 4.312 3.628 Al
1.885 0.000 -0.574 Pd
2.846 1.960 2.585 Cu
-0.011 4.250 -0.035 Cu
```

Values from the calculation:
- SG = No. 71
- density (g cm⁻³) = 4.31
- size of the total moment (μB per atom) = 0.000
- volume (Å³/cell) = 173

***

No. 2
The following is a GGA-PBE calculation of a relaxed structure of LaOsW2, from the Alexandria database.

Structure (POSCAR):
```
LaOsW2
1.0
-1.808 4.211 -1.373
0.132 -1.431 -4.563
-2.934 -1.168 0.281
Os W La
1 2 1
Cartesian
-1.401 -1.300 -2.141 Os
0.000 0.000 0.000 W
-0.838 1.390 -2.968 W
-2.371 1.521 -0.546 La
```

Values from the calculation:
- SG = No. 123
- density (g cm⁻³) = 15.95
- size of the total moment (μB per atom) = 0.000
- volume (Å³/cell) = 73
- polymorph energy (0 for the lowest one) (meV/atom) = 490

***

No. 3
The following is a GGA-PBE calculation of a relaxed structure of Na2BC, from the Alexandria database.

Structure (POSCAR):
```
Na2BC
1.0
3.491 0.000 0.000
0.000 3.491 0.000
1.745 1.745 8.855
B Na C
2 4 2
Cartesian
1.745 1.745 0.000 B
1.745 3.491 4.428 B
4.364 4.409 6.641 Na
2.663 0.873 2.214 Na
0.828 2.618 2.214 Na
2.618 2.573 6.641 Na
0.000 0.000 0.000 C
3.491 1.745 4.428 C
```

Values from the calculation:
- SG = No. 122
- density (g cm⁻³) = 2.12
- size of the total moment (μB per atom) = 0.000
- volume (Å³/cell) = 108
- polymorph energy (0 for the lowest one) (meV/atom) = 162

***

No. 4
The following is a GGA-PBE calculation of a relaxed structure of YCd11Ni, from the Alexandria database.

Structure (POSCAR):
```
YCd11Ni
1.0
5.280 -0.005 2.200
2.583 6.987 1.076
-0.074 -0.002 7.616
Ni Cd Y
1 11 1
Cartesian
3.932 3.491 1.638 Ni
1.767 4.483 3.306 Cd
-0.037 -0.001 3.808 Cd
5.634 5.468 8.427 Cd
2.155 1.513 2.465 Cd
4.596 5.470 3.482 Cd
3.193 1.510 7.410 Cd
6.022 2.497 7.586 Cd
2.603 -0.003 4.908 Cd
4.272 2.499 4.350 Cd
3.517 4.481 6.542 Cd
1.292 3.494 0.538 Cd
0.000 0.000 0.000 Y
```

Values from the calculation:
- SG = No. 12
- density (g cm⁻³) = 8.14
- size of the total moment (μB per atom) = 0.000
- volume (Å³/cell) = 282

***

No. 5
The following is a GGA-PBE calculation of a relaxed structure of NbAl3Ir, from the Alexandria database.

Structure (POSCAR):
```
NbAl3Ir
1.0
-2.917 2.491 2.635
-2.906 -3.629 0.214
2.169 -1.511 3.830
Ir Nb Al
1 1 3
Cartesian
0.000 0.000 0.000 Ir
-1.827 -1.324 3.340 Nb
1.085 -0.755 1.915 Al
-1.453 -1.815 0.107 Al
-1.459 1.246 1.317 Al
```

Values from the calculation:
- SG = No. 221
- density (g cm⁻³) = 6.03
- size of the total moment (μB per atom) = 0.580
- volume (Å³/cell) = 101
- polymorph energy (0 for the lowest one) (meV/atom) = 0

***

No. 6
The following is a GGA-PBE calculation of a relaxed structure of U2AlGa, from the Alexandria database.

Structure (POSCAR):
```
U2AlGa
1.0
2.861 0.000 0.000
-1.430 5.258 -0.059
0.000 0.114 5.319
Ga U Al
1 2 1
Cartesian
0.000 0.000 0.000 Ga
1.430 2.542 3.953 U
0.000 2.830 1.306 U
0.000 0.057 2.659 Al
```

Values from the calculation:
- SG = No. 12
- density (g cm⁻³) = 11.89
- size of the total moment (μB per atom) = 0.841
- volume (Å³/cell) = 80

***

Number 1: DFT formation energy -146 meV/atom. Number 2: DFT formation energy 884 meV/atom. Number 3: DFT formation energy 2051 meV/atom. Number 4: DFT formation energy -73 meV/atom. Number 5: DFT formation energy 310 meV/atom. Number 6: DFT formation energy 11 meV/atom.